(1)
# ThPb2Se4

A geometry-optimized ThPb2Se4 structure (PBE, Alexandria).

Output
symmetry = Pbam (55)
mass density = 7.09 Mg/m³
spin magnetization = 0.0 μB/f.u.
energy above the lowest structure with this stoichiometry = 0.0000 eV/atom
raw total energy = -72.148 eV per cell
ΔE_f (raw) = -7.30 eV per formula unit

a b c (Å): 4.3407 7.7338 13.4354
angles (deg): 90.00 90.00 90.00
Fractional positions:
Th: 0.0000 0.5000 0.0000
Th: 0.0000 0.0000 0.5000
Se: 0.5000 0.2466 0.4610
Se: 0.5000 0.7466 0.0390
Se: 0.0000 0.1200 0.7056
Se: 0.5000 0.2534 0.9610
Se: 0.0000 0.6200 0.7944
Se: 0.0000 0.3800 0.2056
Se: 0.0000 0.8800 0.2944
Se: 0.5000 0.7534 0.5390
Pb: 0.5000 0.6287 0.3312
Pb: 0.5000 0.3713 0.6688
Pb: 0.5000 0.1287 0.1688
Pb: 0.5000 0.8713 0.8312

***

(2)
# TbSmTlPd

A geometry-optimized TbSmTlPd structure (PBE, Alexandria).

Output
symmetry = F-43m (216)
formation energy from the elements = -0.518 eV/atom
mass density = 10.11 Mg/m³
spin magnetization = 0.0 μB/f.u.
raw total energy = -18.982 eV per cell

a b c (Å): 5.2412 5.2412 5.2412
angles (deg): 60.00 60.00 60.00
Fractional positions:
Tl: 0.7500 0.7500 0.7500
Tb: 0.5000 0.5000 0.5000
Pd: 0.2500 0.2500 0.2500
Sm: 0.0000 0.0000 0.0000

***

(3)
# RbNa2Sc

A geometry-optimized RbNa2Sc structure (PBE, Alexandria).

Output
symmetry = Fm-3m (225)
formation energy from the elements = 0.547 eV/atom
mass density = 1.78 Mg/m³
spin magnetization = 1.3 μB/f.u.
energy above the lowest structure with this stoichiometry = 0.0528 eV/atom
raw total energy = -7.749 eV per cell

a b c (Å): 6.1528 6.1528 6.1528
angles (deg): 60.00 60.00 60.00
Fractional positions:
Na: 0.2500 0.2500 0.2500
Na: 0.7500 0.7500 0.7500
Sc: 0.0000 0.0000 0.0000
Rb: 0.5000 0.5000 0.5000

***

(4)
# FeNi5Ir

A geometry-optimized FeNi5Ir structure (PBE, Alexandria).

Output
symmetry = C2/c (15)
formation energy from the elements = 0.093 eV/atom
mass density = 10.80 Mg/m³
spin magnetization = 6.8 μB/f.u.
raw total energy = -91.159 eV per cell

a b c (Å): 4.4989 4.4989 8.9469
angles (deg): 103.32 103.32 99.93
Fractional positions:
Ni: 0.9911 0.4209 0.3514
Ni: 0.5370 0.2350 0.4570
Ni: 0.2350 0.5370 0.9570
Ni: 0.5791 0.0089 0.1486
Ni: 0.7650 0.4630 0.0430
Ni: 0.4209 0.9911 0.8514
Ni: 0.0089 0.5791 0.6486
Ni: 0.4630 0.7650 0.5430
Ni: 0.8972 0.1028 0.7500
Ni: 0.1028 0.8972 0.2500
Ir: 0.4643 0.5357 0.2500
Ir: 0.5357 0.4643 0.7500
Fe: 0.0000 0.0000 0.5000
Fe: 0.0000 0.0000 0.0000